A | CsKAu2 | PBE-GGA | relaxed

Summary:
* spin magnetization: 0.0 μB/f.u.

abc: 9.7696 9.7696 9.7696
angles: 128.69 103.17 98.46
Closest atoms and distances in Å follow each position.
Fractional positions:
Cs 0.0000 0.0000 0.0000  2 Au 3.31
K 0.5000 0.5000 0.0000  2 Au 3.07
Au 0.2595 0.2595 0.0000  1 K 3.07, 1 Cs 3.31
Au 0.7405 0.7405 0.0000  1 K 3.07, 1 Cs 3.31

=====

B | CsKAu2 | PBE-GGA | relaxed

Summary:
* spin magnetization: 0.0 μB/f.u.

abc: 4.2001 4.2001 8.1517
angles: 90.00 90.00 90.00
Closest atoms and distances in Å follow each position.
Fractional positions:
Cs 0.0000 0.0000 0.0000  8 Au 3.79, 2 K 4.08, 4 Cs 4.20
K 0.0000 0.0000 0.5000  8 Au 3.43
Au 0.5000 0.5000 0.2884  4 K 3.43, 1 Au 3.45, 4 Cs 3.79
Au 0.5000 0.5000 0.7116  4 K 3.43, 1 Au 3.45, 4 Cs 3.79

=====

C | CsKAu2 | PBE-GGA | relaxed

Summary:
* spin magnetization: 0.0 μB/f.u.

abc: 4.9699 6.7520 6.7520
angles: 42.00 90.00 90.00
Closest atoms and distances in Å follow each position.
Fractional positions:
Cs 0.0000 0.0000 0.0000  7 Au 3.61-3.63
K 0.5000 0.2784 0.2784  6 Au 3.44-3.56
Au 0.0000 0.7139 0.7139  2 Au 2.97
Au 0.5000 0.5844 0.5844  2 Au 2.97

=====

Pick the most stable structure from those above. Pick: C